Entry 1:
Computed, not measured: a geometry-optimized NaGaTe3Pb structure at the GGA-PBE level of DFT. Values from VASP.

```
&SYSTEM
  ibrav = 0, nat = 12, ntyp = 4
/
ATOMIC_SPECIES
Na 22.99 Na.upf
Ga 69.72 Ga.upf
Te 127.60 Te.upf
Pb 207.20 Pb.upf
CELL_PARAMETERS angstrom
-3.818 0.428 2.281
2.134 -7.559 4.991
4.369 8.599 5.698
ATOMIC_POSITIONS angstrom
Na 0.184 -0.004 2.496
Na 2.501 1.472 10.474
Ga 1.915 4.961 4.461
Ga 0.770 -3.493 8.509
Te -0.190 -5.556 7.289
Te 2.875 7.025 5.681
Te 2.718 -2.086 7.129
Te -0.033 3.554 5.841
Te -1.207 -1.604 4.845
Te 3.892 3.072 8.125
Pb 0.986 -3.910 4.573
Pb 1.699 5.378 8.397
```

Calculated values
The crystal system is monoclinic. Its space-group type is No. 11. For the total energy, the calculation gives -40.72 eV for the cell shown. The density of states at the Fermi level is 1.2 states/eV/f.u.



Entry 2:
Computed, not measured: a geometry-optimized Ba3Sb4Pd4 structure at the GGA-PBE level of DFT. Values from VASP.

```
&SYSTEM
  ibrav = 0, nat = 11, ntyp = 3
/
ATOMIC_SPECIES
Ba 137.33 Ba.upf
Sb 121.76 Sb.upf
Pd 106.42 Pd.upf
CELL_PARAMETERS angstrom
4.875 0.004 -0.022
0.005 4.735 0.003
2.360 2.360 13.374
ATOMIC_POSITIONS angstrom
Ba 2.350 4.733 9.328
Ba 4.890 2.367 4.026
Ba 0.000 0.000 0.000
Sb 4.802 4.729 11.887
Sb 2.438 2.371 1.468
Sb 2.533 4.729 5.386
Sb 4.707 2.371 7.969
Pd 4.774 2.363 10.655
Pd 2.218 2.358 6.712
Pd 5.022 4.742 6.643
Pd 2.466 4.737 2.700
```

Calculated values
The crystal system is triclinic. Its space-group type is No. 2. For the total energy, the calculation gives -52.45 eV for the cell shown. The density of states at the Fermi level is 4.8 states/eV/f.u.



- Which value of total energy does entry 1 give?
  -40.72 eV for the cell shown



Copy entry 1 word for word.
Computed, not measured: a geometry-optimized NaGaTe3Pb structure at the GGA-PBE level of DFT. Values from VASP.

```
&SYSTEM
  ibrav = 0, nat = 12, ntyp = 4
/
ATOMIC_SPECIES
Na 22.99 Na.upf
Ga 69.72 Ga.upf
Te 127.60 Te.upf
Pb 207.20 Pb.upf
CELL_PARAMETERS angstrom
-3.818 0.428 2.281
2.134 -7.559 4.991
4.369 8.599 5.698
ATOMIC_POSITIONS angstrom
Na 0.184 -0.004 2.496
Na 2.501 1.472 10.474
Ga 1.915 4.961 4.461
Ga 0.770 -3.493 8.509
Te -0.190 -5.556 7.289
Te 2.875 7.025 5.681
Te 2.718 -2.086 7.129
Te -0.033 3.554 5.841
Te -1.207 -1.604 4.845
Te 3.892 3.072 8.125
Pb 0.986 -3.910 4.573
Pb 1.699 5.378 8.397
```

Calculated values
The crystal system is monoclinic. Its space-group type is No. 11. For the total energy, the calculation gives -40.72 eV for the cell shown. The density of states at the Fermi level is 1.2 states/eV/f.u.